(1)
K2CaSc: relaxed, PBE-GGA.

* offset from the most stable computed form: 141 meV/atom
* crystal system: monoclinic
* total DFT energy (no corrections): -2.1543 eV per atom
* total magnetization: 1.48 μB per formula unit
* DOS(E_F): 1.33 states/eV per atom
* formation enthalpy at 0 K: 0.4778 eV per atom

Unit cell a=7.3749 b=7.3749 c=6.6417 alpha=98.77 beta=98.77 gamma=29.52
Last column: nearest neighbours and their distance in Å.
Element x y z (fractional)
K 0.2433 0.2433 0.2419  6 K 3.75-3.89, 2 Sc 4.05, 1 Ca 4.11
K 0.7567 0.7567 0.7581  6 K 3.75-3.89, 2 Sc 4.05, 1 Ca 4.11
Ca 0.0000 0.0000 0.5000  2 Ca 3.76, 4 Sc 3.82, 2 K 4.11
Sc 0.5000 0.5000 0.0000  2 Sc 3.76, 4 Ca 3.82, 4 K 4.05

(2)
Li6Ga2Ag: relaxed, PBE-GGA.

* offset from the most stable computed form: 0 meV/atom
* crystal system: trigonal
* total DFT energy (no corrections): -2.5078 eV per atom
* total magnetization: 0.00 μB per formula unit
* DOS(E_F): 0.28 states/eV per atom
* formation enthalpy at 0 K: -0.2425 eV per atom

Unit cell a=5.2181 b=5.2181 c=5.2181 alpha=96.30 beta=96.30 gamma=96.30
Last column: nearest neighbours and their distance in Å.
Element x y z (fractional)
Li 0.0000 0.3313 0.6687  5 Li 2.58-2.66
Li 0.0000 0.6687 0.3313  5 Li 2.58-2.66
Li 0.3313 0.0000 0.6687  5 Li 2.58-2.66
Li 0.3313 0.6687 0.0000  5 Li 2.58-2.66
Li 0.6687 0.0000 0.3313  5 Li 2.58-2.66
Li 0.6687 0.3313 0.0000  5 Li 2.58-2.66
Ga 0.1648 0.1648 0.1648  1 Ga 2.63, 1 Ag 2.68, 12 Li 2.89-2.93
Ga 0.8352 0.8352 0.8352  1 Ga 2.63, 1 Ag 2.68, 12 Li 2.89-2.93
Ag 0.5000 0.5000 0.5000  2 Ga 2.68, 12 Li 2.92

(3)
Tb4Ho2ThSc: relaxed, PBE-GGA.

* crystal system: tetragonal
* total DFT energy (no corrections): -5.0292 eV per atom
* total magnetization: 0.00 μB per formula unit
* DOS(E_F): 2.13 states/eV per atom
* formation enthalpy at 0 K: 0.1493 eV per atom

Unit cell a=5.8690 b=5.8690 c=7.1991 alpha=90.00 beta=90.00 gamma=90.00
Last column: nearest neighbours and their distance in Å.
Element x y z (fractional)
Tb 0.0000 0.5000 0.2461  2 Th 3.43, 2 Sc 3.43, 4 Ho 3.46, 2 Tb 3.54-3.66
Tb 0.0000 0.5000 0.7539  2 Th 3.43, 2 Sc 3.43, 4 Ho 3.46, 2 Tb 3.54-3.66
Tb 0.5000 0.0000 0.2461  2 Th 3.43, 2 Sc 3.43, 4 Ho 3.46, 2 Tb 3.54-3.66
Tb 0.5000 0.0000 0.7539  2 Th 3.43, 2 Sc 3.43, 4 Ho 3.46, 2 Tb 3.54-3.66
Ho 0.0000 0.0000 0.5000  8 Tb 3.46, 2 Th 3.60
Ho 0.5000 0.5000 0.5000  8 Tb 3.46, 2 Sc 3.60
Th 0.0000 0.0000 0.0000  8 Tb 3.43, 2 Ho 3.60
Sc 0.5000 0.5000 0.0000  8 Tb 3.43, 2 Ho 3.60

(4)
KBaSr4: relaxed, PBE-GGA.

* offset from the most stable computed form: 0 meV/atom
* crystal system: tetragonal
* total DFT energy (no corrections): -1.5832 eV per atom
* total magnetization: 0.00 μB per formula unit
* DOS(E_F): 1.19 states/eV per atom
* formation enthalpy at 0 K: 0.0414 eV per atom

Unit cell a=4.2545 b=4.2545 c=19.4675 alpha=90.00 beta=90.00 gamma=90.00
Last column: nearest neighbours and their distance in Å.
Element x y z (fractional)
K 0.0000 0.0000 0.0000  4 K 4.25, 8 Sr 4.57
Ba 0.5000 0.5000 0.5000  4 Ba 4.25, 8 Sr 4.43
Sr 0.0000 0.0000 0.3331  8 Sr 4.25-4.28, 4 Ba 4.43
Sr 0.0000 0.0000 0.6669  8 Sr 4.25-4.28, 4 Ba 4.43
Sr 0.5000 0.5000 0.1768  8 Sr 4.25-4.28, 4 K 4.57
Sr 0.5000 0.5000 0.8232  8 Sr 4.25-4.28, 4 K 4.57

(5)
NiSbSI2: relaxed, PBE-GGA.

* offset from the most stable computed form: 0 meV/atom
* crystal system: tetragonal
* total DFT energy (no corrections): -2.8868 eV per atom
* formation energy from raw total energies: 0.539 eV per atom
* total magnetization: 0.47 μB per formula unit
* DOS(E_F): 1.05 states/eV per atom

Unit cell a=5.1078 b=5.1078 c=5.1304 alpha=90.00 beta=90.00 gamma=90.00
Last column: nearest neighbours and their distance in Å.
Element x y z (fractional)
Ni 0.0000 0.0000 0.0000  4 I 2.55, 2 Sb 2.57
Sb 0.0000 0.0000 0.5000  2 Ni 2.57
S 0.5000 0.5000 0.5000  4 Sb 3.61, 8 I 3.62
I 0.0000 0.5000 0.0000  2 Ni 2.55
I 0.5000 0.0000 0.0000  2 Ni 2.55

(6)
DyCu2Pd: relaxed, PBE-GGA.

* crystal system: trigonal
* total DFT energy (no corrections): -4.8369 eV per atom
* total magnetization: 0.00 μB per formula unit
* DOS(E_F): 0.56 states/eV per atom
* formation enthalpy at 0 K: -0.3400 eV per atom

Unit cell a=4.9830 b=4.9830 c=4.9830 alpha=51.76 beta=51.76 gamma=51.76
Last column: nearest neighbours and their distance in Å.
Element x y z (fractional)
Dy 0.0000 0.0000 0.0000  8 Cu 2.78-2.94
Cu 0.2150 0.2150 0.2150  3 Pd 2.59, 1 Dy 2.78, 3 Cu 2.81
Cu 0.7850 0.7850 0.7850  3 Pd 2.59, 1 Dy 2.78, 3 Cu 2.81
Pd 0.5000 0.5000 0.5000  6 Cu 2.59